Density functional theory data (GGA-PBE) for a relaxed structure of SnH6CBr3N3.

Cell lengths 7.102, 8.253, 9.147 Å; angles 89.81, 88.86, 89.71 degrees
Element x y z (fractional)
Sn1 0.000 0.000 0.000
Sn2 0.053 0.499 0.498
H1 0.295 0.582 0.108
H2 0.298 0.443 0.870
H3 0.314 0.951 0.639
H4 0.324 0.079 0.388
H5 0.494 0.547 0.211
H6 0.503 0.467 0.768
H7 0.519 0.981 0.734
H8 0.529 0.035 0.289
H9 0.791 0.564 0.067
H10 0.793 0.452 0.905
H11 0.808 0.955 0.598
H12 0.814 0.055 0.430
C1 0.530 0.506 0.990
C2 0.549 0.006 0.512
Br1 0.007 0.743 0.198
Br2 0.018 0.300 0.743
Br3 0.025 0.800 0.758
Br4 0.038 0.243 0.302
Br5 0.434 0.508 0.492
Br6 0.621 0.013 0.005
N1 0.433 0.546 0.111
N2 0.438 0.469 0.869
N3 0.452 0.983 0.637
N4 0.457 0.034 0.387
N5 0.718 0.502 0.990
N6 0.737 0.999 0.510

- space group = No. 1
- magnetic moment (μB/cell) = 0.00
- uncorrected energy (Ry/atom) = -0.3682
- energy relative to the lowest polymorph listed for this composition (meV/atom) = 10.7

Density functional theory data (GGA-PBE) for a relaxed structure of PrZr2CoN4.

Cell lengths 5.812, 5.812, 11.144 Å; angles 90.00, 90.00, 147.17 degrees
Element x y z (fractional)
Pr1 0.105 0.895 0.750
Pr2 0.895 0.105 0.250
Zr1 0.367 0.633 0.553
Zr2 0.367 0.633 0.947
Zr3 0.633 0.367 0.053
Zr4 0.633 0.367 0.447
Co1 0.158 0.842 0.250
Co2 0.842 0.158 0.750
N1 0.000 0.000 0.000
N2 0.000 0.000 0.500
N3 0.267 0.733 0.114
N4 0.267 0.733 0.386
N5 0.436 0.564 0.750
N6 0.564 0.436 0.250
N7 0.733 0.267 0.614
N8 0.733 0.267 0.886

- space group = No. 63
- magnetic moment (μB/cell) = 2.16
- uncorrected energy (Ry/atom) = -0.6624

Density functional theory data (GGA-PBE) for a relaxed structure of MnSbH.

Cell lengths 2.861, 2.861, 10.201 Å; angles 90.32, 90.42, 90.04 degrees
Element x y z (fractional)
Mn1 0.248 0.249 0.431
Mn2 0.752 0.751 0.569
Sb1 0.239 0.244 0.172
Sb2 0.761 0.756 0.828
H1 0.255 0.251 0.599
H2 0.745 0.749 0.401

- space group = No. 2
- magnetic moment (μB/cell) = 0.01
- uncorrected energy (Ry/atom) = -0.3901
- energy relative to the lowest polymorph listed for this composition (meV/atom) = 187.1

Density functional theory data (GGA-PBE) for a relaxed structure of AlAg2Te.

Cell lengths 9.517, 9.517, 9.517 Å; angles 152.26, 152.26, 39.63 degrees
Element x y z (fractional)
Al1 0.000 0.000 0.000
Al2 0.750 0.250 0.500
Ag1 0.067 0.625 0.942
Ag2 0.375 0.317 0.442
Ag3 0.683 0.125 0.058
Ag4 0.875 0.933 0.558
Te1 0.250 0.750 0.500
Te2 0.500 0.500 0.000

- space group = No. 122
- magnetic moment (μB/cell) = 0.00
- uncorrected energy (Ry/atom) = -0.2257
- energy relative to the lowest polymorph listed for this composition (meV/atom) = 31.4

Density functional theory data (GGA-PBE) for a relaxed structure of CsSi3S.

Cell lengths 5.644, 5.644, 5.644 Å; angles 90.00, 90.00, 90.00 degrees
Element x y z (fractional)
Cs1 0.000 0.000 0.000
Si1 0.000 0.000 0.500
Si2 0.000 0.500 0.000
Si3 0.500 0.000 0.000
S1 0.500 0.500 0.500

- space group = No. 221
- magnetic moment (μB/cell) = 1.30
- uncorrected energy (Ry/atom) = -0.1279
- energy relative to the lowest polymorph listed for this composition (meV/atom) = 1689.8

Density functional theory data (GGA-PBE) for a relaxed structure of Pm3Er2Sc8.

Cell lengths 8.327, 8.327, 5.773 Å; angles 107.10, 107.10, 81.46 degrees
Element x y z (fractional)
Pm1 0.000 0.000 0.000
Pm2 0.242 0.758 0.500
Pm3 0.758 0.242 0.500
Er1 0.299 0.299 0.157
Er2 0.701 0.701 0.843
Sc1 0.078 0.561 0.812
Sc2 0.167 0.167 0.559
Sc3 0.435 0.435 0.736
Sc4 0.439 0.922 0.188
Sc5 0.561 0.078 0.812
Sc6 0.565 0.565 0.264
Sc7 0.833 0.833 0.441
Sc8 0.922 0.439 0.188

- space group = No. 12
- magnetic moment (μB/cell) = 0.00
- uncorrected energy (Ry/atom) = -0.4069
- energy of formation (eV/atom) = 0.159

Density functional theory data (GGA-PBE) for a relaxed structure of LaAgPb.

Cell lengths 5.254, 5.254, 6.639 Å; angles 90.02, 90.02, 70.43 degrees
Element x y z (fractional)
La1 0.159 0.159 0.250
La2 0.841 0.841 0.750
Ag1 0.489 0.511 0.500
Ag2 0.493 0.507 0.000
Pb1 0.211 0.211 0.750
Pb2 0.789 0.789 0.250

- space group = No. 5
- magnetic moment (μB/cell) = 0.00
- uncorrected energy (Ry/atom) = -0.3060
- energy of formation (eV/atom) = -0.335

Density functional theory data (GGA-PBE) for a relaxed structure of La3TcC4.

Cell lengths 8.771, 8.771, 4.520 Å; angles 98.72, 98.72, 24.76 degrees
Element x y z (fractional)
La1 0.000 0.000 0.000
La2 0.175 0.175 0.713
La3 0.825 0.825 0.287
Tc1 0.500 0.500 0.500
C1 0.328 0.328 0.774
C2 0.397 0.397 0.674
C3 0.603 0.603 0.326
C4 0.672 0.672 0.226

- space group = No. 12
- magnetic moment (μB/cell) = 0.00
- uncorrected energy (Ry/atom) = -0.5796
- energy of formation (eV/atom) = -0.131

Density functional theory data (GGA-PBE) for a relaxed structure of Lu2MgRu.

Cell lengths 9.573, 9.573, 9.573 Å; angles 20.63, 20.63, 20.63 degrees
Element x y z (fractional)
Lu1 0.235 0.235 0.235
Lu2 0.765 0.765 0.765
Mg1 0.000 0.000 0.000
Ru1 0.500 0.500 0.500

- space group = No. 166
- magnetic moment (μB/cell) = 0.00
- uncorrected energy (Ry/atom) = -0.3745
- energy relative to the lowest polymorph listed for this composition (meV/atom) = 258.8
- energy of formation (eV/atom) = -0.117

Density functional theory data (GGA-PBE) for a relaxed structure of Ce4SmTl5.

Cell lengths 4.116, 4.116, 17.219 Å; angles 90.00, 90.00, 90.00 degrees
Element x y z (fractional)
Ce1 0.000 0.000 0.099
Ce2 0.000 0.000 0.295
Ce3 0.000 0.000 0.705
Ce4 0.000 0.000 0.901
Sm1 0.000 0.000 0.500
Tl1 0.500 0.500 0.000
Tl2 0.500 0.500 0.198
Tl3 0.500 0.500 0.400
Tl4 0.500 0.500 0.600
Tl5 0.500 0.500 0.802

- space group = No. 123
- magnetic moment (μB/cell) = 5.28
- uncorrected energy (Ry/atom) = -0.3135
- energy of formation (eV/atom) = -0.237

Density functional theory data (GGA-PBE) for a relaxed structure of AcSmN.

Cell lengths 3.723, 3.723, 6.685 Å; angles 90.00, 90.00, 120.00 degrees
Element x y z (fractional)
Ac1 0.000 0.000 0.000
Sm1 0.667 0.333 0.570
N1 0.333 0.667 0.745

- space group = No. 156
- magnetic moment (μB/cell) = 0.64
- uncorrected energy (Ry/atom) = -0.4757
- energy relative to the lowest polymorph listed for this composition (meV/atom) = 0.0

Density functional theory data (GGA-PBE) for a relaxed structure of SnSbO2F.

Cell lengths 4.182, 4.182, 4.372 Å; angles 90.00, 90.00, 90.00 degrees
Element x y z (fractional)
Sn1 0.000 0.000 0.000
Sb1 0.500 0.500 0.500
O1 0.000 0.500 0.000
O2 0.500 0.000 0.000
F1 0.000 0.000 0.500

- space group = No. 123
- magnetic moment (μB/cell) = 0.00
- uncorrected energy (Ry/atom) = -0.3608

Density functional theory data (GGA-PBE) for a relaxed structure of Ce2Mn2GaCo5.

Cell lengths 8.750, 8.750, 3.808 Å; angles 90.00, 90.00, 90.00 degrees
Element x y z (fractional)
Ce1 0.191 0.309 0.000
Ce2 0.309 0.809 0.000
Ce3 0.691 0.191 0.000
Ce4 0.809 0.691 0.000
Mn1 0.114 0.614 0.000
Mn2 0.386 0.114 0.000
Mn3 0.614 0.886 0.000
Mn4 0.886 0.386 0.000
Ga1 0.000 0.000 0.000
Ga2 0.500 0.500 0.000
Co1 0.000 0.500 0.500
Co2 0.054 0.797 0.500
Co3 0.203 0.054 0.500
Co4 0.297 0.554 0.500
Co5 0.446 0.297 0.500
Co6 0.500 0.000 0.500
Co7 0.554 0.703 0.500
Co8 0.703 0.446 0.500
Co9 0.797 0.946 0.500
Co10 0.946 0.203 0.500

- space group = No. 127
- magnetic moment (μB/cell) = 17.72
- uncorrected energy (Ry/atom) = -0.5078
- energy of formation (eV/atom) = -0.033

Density functional theory data (GGA-PBE) for a relaxed structure of RbNa2TaBr8.

Cell lengths 6.222, 7.959, 10.570 Å; angles 68.40, 78.83, 86.06 degrees
Element x y z (fractional)
Rb1 0.000 0.000 0.000
Na1 0.431 0.472 0.185
Na2 0.569 0.528 0.815
Ta1 0.000 0.500 0.500
Br1 0.125 0.487 0.722
Br2 0.258 0.245 0.483
Br3 0.288 0.732 0.352
Br4 0.495 0.217 0.056
Br5 0.505 0.783 0.944
Br6 0.712 0.268 0.648
Br7 0.742 0.755 0.517
Br8 0.875 0.513 0.278

- space group = No. 2
- magnetic moment (μB/cell) = 0.00
- uncorrected energy (Ry/atom) = -0.2664

Density functional theory data (GGA-PBE) for a relaxed structure of BC5.

Cell lengths 4.495, 4.495, 5.161 Å; angles 108.00, 108.00, 47.45 degrees
Element x y z (fractional)
B1 0.169 0.169 0.336
B2 0.831 0.831 0.664
C1 0.087 0.591 0.410
C2 0.093 0.574 0.922
C3 0.167 0.165 0.835
C4 0.409 0.913 0.590
C5 0.426 0.907 0.078
C6 0.500 0.500 0.500
C7 0.501 0.499 0.000
C8 0.739 0.253 0.248
C9 0.747 0.261 0.752
C10 0.835 0.833 0.165

- space group = No. 5
- magnetic moment (μB/cell) = 0.00
- uncorrected energy (Ry/atom) = -0.6256
- energy relative to the lowest polymorph listed for this composition (meV/atom) = 78.9
- energy of formation (eV/atom) = 0.288

Density functional theory data (GGA-PBE) for a relaxed structure of Ca2SmSn3Pt4.

Cell lengths 4.639, 4.639, 11.159 Å; angles 90.00, 90.00, 90.00 degrees
Element x y z (fractional)
Ca1 0.000 0.500 0.218
Ca2 0.500 0.000 0.782
Sm1 0.000 0.000 0.500
Sn1 0.000 0.500 0.879
Sn2 0.500 0.000 0.121
Sn3 0.500 0.500 0.500
Pt1 0.000 0.000 0.000
Pt2 0.000 0.500 0.646
Pt3 0.500 0.000 0.354
Pt4 0.500 0.500 0.000

- space group = No. 115
- magnetic moment (μB/cell) = 0.00
- uncorrected energy (Ry/atom) = -0.3903
- energy of formation (eV/atom) = -0.821

Density functional theory data (GGA-PBE) for a relaxed structure of AcSiPRh3.

Cell lengths 7.598, 7.598, 5.801 Å; angles 90.00, 90.00, 135.20 degrees
Element x y z (fractional)
Ac1 0.241 0.759 0.750
Ac2 0.759 0.241 0.250
Si1 0.088 0.912 0.250
Si2 0.912 0.088 0.750
P1 0.418 0.582 0.250
P2 0.582 0.418 0.750
Rh1 0.253 0.253 0.000
Rh2 0.253 0.253 0.500
Rh3 0.255 0.745 0.250
Rh4 0.745 0.255 0.750
Rh5 0.747 0.747 0.000
Rh6 0.747 0.747 0.500

- space group = No. 63
- magnetic moment (μB/cell) = 0.00
- uncorrected energy (Ry/atom) = -0.5200

Density functional theory data (GGA-PBE) for a relaxed structure of PrTmMg17.

Cell lengths 7.796, 7.796, 7.796 Å; angles 82.12, 82.12, 82.12 degrees
Element x y z (fractional)
Pr1 0.000 0.000 0.000
Tm1 0.658 0.658 0.658
Mg1 0.026 0.333 0.632
Mg2 0.026 0.632 0.333
Mg3 0.177 0.682 0.682
Mg4 0.233 0.233 0.233
Mg5 0.326 0.326 0.834
Mg6 0.326 0.834 0.326
Mg7 0.333 0.026 0.632
Mg8 0.333 0.632 0.026
Mg9 0.432 0.432 0.432
Mg10 0.497 0.976 0.976
Mg11 0.632 0.026 0.333
Mg12 0.632 0.333 0.026
Mg13 0.682 0.177 0.682
Mg14 0.682 0.682 0.177
Mg15 0.834 0.326 0.326
Mg16 0.976 0.497 0.976
Mg17 0.976 0.976 0.497

- space group = No. 160
- magnetic moment (μB/cell) = 0.00
- uncorrected energy (Ry/atom) = -0.1426
- energy of formation (eV/atom) = -0.027

Density functional theory data (GGA-PBE) for a relaxed structure of AsIrPt2.

Cell lengths 2.850, 3.685, 5.990 Å; angles 90.00, 90.00, 90.00 degrees
Element x y z (fractional)
As1 0.000 0.000 0.000
Ir1 0.500 0.500 0.203
Pt1 0.000 0.000 0.465
Pt2 0.500 0.500 0.722

- space group = No. 25
- magnetic moment (μB/cell) = 0.00
- uncorrected energy (Ry/atom) = -0.4628
- energy of formation (eV/atom) = 0.101

Density functional theory data (GGA-PBE) for a relaxed structure of KTbTm4S8.

Cell lengths 8.171, 8.171, 8.171 Å; angles 59.52, 59.52, 59.52 degrees
Element x y z (fractional)
K1 0.000 0.000 0.000
Tb1 0.632 0.632 0.632
Tm1 0.113 0.632 0.632
Tm2 0.252 0.252 0.252
Tm3 0.632 0.113 0.632
Tm4 0.632 0.632 0.113
S1 0.382 0.382 0.856
S2 0.382 0.856 0.382
S3 0.384 0.384 0.384
S4 0.426 0.863 0.863
S5 0.856 0.382 0.382
S6 0.860 0.860 0.860
S7 0.863 0.426 0.863
S8 0.863 0.863 0.426

- space group = No. 160
- magnetic moment (μB/cell) = 0.00
- uncorrected energy (Ry/atom) = -0.4389